# 1
Material: Tb2SmHoBi5
Method: DFT, PBE
State: relaxed

Computed properties:
D(E_F) ... 6.0 states/eV per cell
Size of the total moment ... 0.00 μB per cell
Final energy ... -4.14 eV per atom
ΔE_f ... 0.082 eV/atom
SG ... P4/mmm

a b c (Å): 5.5041 5.5041 11.8663
angles (deg): 90.00 90.00 90.00
Fractional positions:
Bi 0.0000 0.0000 0.2436
Tb 0.5000 0.5000 0.2711
Tb 0.5000 0.5000 0.7289
Bi 0.0000 0.0000 0.7564
Bi 0.5000 0.0000 0.5000
Sm 0.0000 0.0000 0.5000
Bi 0.0000 0.5000 0.5000
Bi 0.5000 0.5000 0.0000
Ho 0.0000 0.0000 0.0000

# 2
Material: SmHoBiTe
Method: DFT, PBE
State: relaxed

Computed properties:
D(E_F) ... 1.5 states/eV per cell
Energy relative to the elements, uncorrected ... -1.105 eV/atom
Size of the total moment ... 0.00 μB per cell
Final energy ... -5.19 eV per atom
SG ... P4mm

a b c (Å): 4.4574 4.4570 6.2857
angles (deg): 90.00 90.00 90.00
Fractional positions:
Sm 0.5000 0.3913 0.0932
Bi 0.0000 0.8913 0.0918
Ho 0.0000 0.8917 0.5917
Te 0.5000 0.3917 0.5930

# 3
Material: Sm3HoTh2Bi6
Method: DFT, PBE
State: relaxed

Computed properties:
D(E_F) ... 5.0 states/eV per cell
Size of the total moment ... 0.00 μB per cell
Final energy ... -5.54 eV per atom
ΔE_f ... -0.797 eV/atom
SG ... C2/m

a b c (Å): 4.5645 9.1083 10.1908
angles (deg): 102.99 102.94 90.00
Fractional positions:
Bi 0.0016 0.7554 0.0033
Bi 0.6665 0.5848 0.3331
Bi 0.9984 0.2446 0.9967
Th 0.8353 0.6694 0.6706
Bi 0.3335 0.4152 0.6669
Sm 0.1674 0.8340 0.3348
Sm 0.5000 0.5000 0.0000
Bi 0.6645 0.0794 0.3290
Th 0.1647 0.3306 0.3294
Sm 0.8326 0.1660 0.6652
Ho 0.5000 0.0000 0.0000
Bi 0.3355 0.9206 0.6710